1.
Entry from Alexandria: a relaxed NdHfZnCu crystal (PBE).

Summary:
ΔE_f: -0.035 eV/atom
DFT total energy: -5.0576 eV per atom
Crystal system: cubic
Magnetic moment: 0.8 μB/cell
Theoretical density: 9.081 g cm⁻³

Unit cell a=4.888 b=4.888 c=4.888 alpha=60.00 beta=60.00 gamma=60.00
Sites, in units of the cell vectors:
Hf: 0.500 0.500 0.500
Cu: 0.750 0.750 0.750
Zn: 0.250 0.250 0.250
Nd: 0.000 0.000 0.000

2.
Entry from Alexandria: a relaxed LiNiBr crystal (PBE).

Summary:
Energy relative to the lowest polymorph listed for this composition: 288 meV/atom
Raw formation energy: -0.16 eV/atom
DFT total energy: -3.2869 eV per atom
Crystal system: orthorhombic
Magnetic moment: 0.0 μB/cell
Theoretical density: 4.213 g cm⁻³

Unit cell a=8.139 b=3.793 c=7.432 alpha=90.00 beta=90.00 gamma=90.00
Sites, in units of the cell vectors:
Li: 0.435 0.250 0.157
Li: 0.565 0.750 0.843
Li: 0.065 0.750 0.657
Li: 0.935 0.250 0.343
Br: 0.275 0.250 0.771
Br: 0.725 0.750 0.229
Br: 0.775 0.250 0.729
Br: 0.225 0.750 0.271
Ni: 0.269 0.750 0.966
Ni: 0.769 0.750 0.534
Ni: 0.731 0.250 0.034
Ni: 0.231 0.250 0.466

Please write out number 2 again, unchanged.
Entry from Alexandria: a relaxed LiNiBr crystal (PBE).

Summary:
Energy relative to the lowest polymorph listed for this composition: 288 meV/atom
Raw formation energy: -0.16 eV/atom
DFT total energy: -3.2869 eV per atom
Crystal system: orthorhombic
Magnetic moment: 0.0 μB/cell
Theoretical density: 4.213 g cm⁻³

Unit cell a=8.139 b=3.793 c=7.432 alpha=90.00 beta=90.00 gamma=90.00
Sites, in units of the cell vectors:
Li: 0.435 0.250 0.157
Li: 0.565 0.750 0.843
Li: 0.065 0.750 0.657
Li: 0.935 0.250 0.343
Br: 0.275 0.250 0.771
Br: 0.725 0.750 0.229
Br: 0.775 0.250 0.729
Br: 0.225 0.750 0.271
Ni: 0.269 0.750 0.966
Ni: 0.769 0.750 0.534
Ni: 0.731 0.250 0.034
Ni: 0.231 0.250 0.466

Q: Number 1 is which compound?
A: NdHfZnCu

Q: Which of these has the lowest magnetic moment?
A: LiNiBr

What did the first record say?
Entry from Alexandria: a relaxed NdHfZnCu crystal (PBE).

Summary:
ΔE_f: -0.035 eV/atom
DFT total energy: -5.0576 eV per atom
Crystal system: cubic
Magnetic moment: 0.8 μB/cell
Theoretical density: 9.081 g cm⁻³

Unit cell a=4.888 b=4.888 c=4.888 alpha=60.00 beta=60.00 gamma=60.00
Sites, in units of the cell vectors:
Hf: 0.500 0.500 0.500
Cu: 0.750 0.750 0.750
Zn: 0.250 0.250 0.250
Nd: 0.000 0.000 0.000